[1]
The following is a PBE-GGA calculation of a geometry-optimized La2GaPCl structure, from Alexandria via LeMat-Bulk.

abc: 5.785 5.785 4.982
angles: 90.00 90.00 90.00
Fractional coordinates of all 5 atoms:
La1 0.000 0.500 0.000
La2 0.500 0.000 0.000
Ga1 0.000 0.000 0.500
P1 0.500 0.500 0.000
Cl1 0.500 0.500 0.500

Values from the calculation:
Size of the total moment   0.001 μB per formula unit
E_form (uncorrected)   -376 meV per atom
Fermi-level density of states   1.3733 states/eV/atom



[2]
The following is a PBE-GGA calculation of a geometry-optimized LiTh2Cu structure, from Alexandria via LeMat-Bulk.

abc: 11.449 11.449 11.449
angles: 17.12 17.12 17.12
Fractional coordinates of all 4 atoms:
Li1 0.000 0.000 0.000
Th1 0.101 0.101 0.101
Th2 0.899 0.899 0.899
Cu1 0.500 0.500 0.500

Values from the calculation:
Size of the total moment   0.000 μB per formula unit
Energy of formation from the pure elements   306 meV/atom
Fermi-level density of states   1.4263 states/eV/atom



[3]
The following is a PBE-GGA calculation of a geometry-optimized LiIn7Pd5 structure, from Alexandria via LeMat-Bulk.

abc: 7.337 7.337 7.337
angles: 134.24 97.12 100.28
Fractional coordinates of all 13 atoms:
Li1 0.000 0.000 0.000
In1 0.095 0.420 0.675
In2 0.176 0.676 0.500
In3 0.270 0.950 0.320
In4 0.314 0.314 0.000
In5 0.630 0.950 0.680
In6 0.649 0.649 0.000
In7 0.745 0.420 0.325
Pd1 0.421 0.437 0.486
Pd2 0.421 0.936 0.984
Pd3 0.683 0.183 0.500
Pd4 0.951 0.437 0.016
Pd5 0.951 0.936 0.514

Values from the calculation:
Size of the total moment   0.000 μB per formula unit
Energy of formation from the pure elements   -405 meV/atom
Fermi-level density of states   0.3604 states/eV/atom



[4]
The following is a PBE-GGA calculation of a geometry-optimized BaErAg structure, from Alexandria via LeMat-Bulk.

abc: 5.072 5.072 8.154
angles: 90.00 90.00 90.00
Fractional coordinates of all 6 atoms:
Ba1 0.250 0.250 0.132
Ba2 0.750 0.750 0.868
Er1 0.250 0.750 0.500
Er2 0.750 0.250 0.500
Ag1 0.250 0.250 0.698
Ag2 0.750 0.750 0.302

Values from the calculation:
Size of the total moment   0.000 μB per formula unit
E above lowest polymorph   0 meV/atom
Energy of formation from the pure elements   -126 meV/atom
Fermi-level density of states   1.5696 states/eV/atom